# CeTmNi

A relaxed CeTmNi crystal (PBE, Alexandria).

The structure in POSCAR format:
```
CeTmNi
1.0
-5.123 2.568 0.258
-1.541 -2.461 -6.108
-2.301 -5.059 4.688
Ni Tm Ce
4 4 4
direct
0.627 0.512 0.152 Ni
0.873 0.012 0.152 Ni
0.373 0.488 0.848 Ni
0.127 0.988 0.848 Ni
0.360 0.856 0.137 Tm
0.860 0.644 0.863 Tm
0.640 0.144 0.863 Tm
0.140 0.356 0.137 Tm
0.852 0.819 0.422 Ce
0.352 0.681 0.578 Ce
0.648 0.319 0.422 Ce
0.148 0.181 0.578 Ce
```

Output
- Crystal system: monoclinic
- Distance to the lowest polymorph of the same formula: 0.000 eV per atom
- Magnetization: 1.1 μB per cell
- SG: P2_1/c, No. 14